# 1
The following is a PBE-GGA calculation of crystalline Be2ZnOs at its relaxed geometry, from Alexandria via LeMat-Bulk.

abc: 2.8501 2.8501 5.6177
angles: 90.00 90.00 90.00
Last column: nearest neighbours and their distance in Å.
Sites, in units of the cell vectors:
Be (0.0000, 0.0000, 0.0370)  4 Be 2.32, 1 Os 2.33, 4 Zn 2.51
Be (0.5000, 0.5000, 0.2405)  4 Be 2.32, 4 Os 2.34
Zn (0.5000, 0.5000, 0.7716)  5 Be 2.51-2.63, 4 Os 2.70
Os (0.0000, 0.0000, 0.4509)  5 Be 2.33-2.34

## Properties
Energy relative to the elements (eV/atom): 0.11
Total magnetization (Bohr magnetons per cell): 0.3
Density of states at the Fermi level (states/eV/cell): 2.7
SG: P4mm, No. 99
Raw total energy (eV/atom): -4.882

# 2
The following is a PBE-GGA calculation of crystalline TlInHgAs at its relaxed geometry, from Alexandria via LeMat-Bulk.

abc: 5.3000 5.3000 5.3000
angles: 60.00 60.00 60.00
Last column: nearest neighbours and their distance in Å.
Sites, in units of the cell vectors:
As (0.5000, 0.5000, 0.5000)  4 Tl 3.25, 4 In 3.25
Tl (0.2500, 0.2500, 0.2500)  4 Hg 3.25, 4 As 3.25
Hg (0.0000, 0.0000, 0.0000)  4 In 3.25, 4 Tl 3.25
In (0.7500, 0.7500, 0.7500)  4 As 3.25, 4 Hg 3.25

## Properties
Energy relative to the elements (eV/atom): 0.07
Total magnetization (Bohr magnetons per cell): 0.0
Density of states at the Fermi level (states/eV/cell): 1.7
SG: F-43m, No. 216
Raw total energy (eV/atom): -2.447